(1)
AcLaGdAg after structural relaxation, computed with PBE.

Cell: 7.975 7.975 7.975 Å, 90.00 90.00 90.00°
Space group F-43m (No. 216)
Inequivalent atoms, fractional coordinates:
Ac (0.000, 0.000, 0.000) x4
La (0.250, 0.250, 0.250) x4
Gd (0.250, 0.250, 0.750) x4
Ag (0.000, 0.000, 0.500) x4

Summary:
V	31.70	A^3/atom
E_form	0.13	eV per atom
uncorrected energy	-0.4676	Ry/atom
total magnetization	9.049	μB/f.u.

---

(2)
SrCaSc3 after structural relaxation, computed with PBE.

Cell: 5.469 5.469 5.469 Å, 90.00 90.00 90.00°
Space group Pm-3m (No. 221)
Inequivalent atoms, fractional coordinates:
Sr (0.000, 0.000, 0.000) x1
Ca (0.500, 0.500, 0.500) x1
Sc (0.000, 0.000, 0.500) x3

Summary:
V	32.71	A^3/atom
ΔE to the lowest computed polymorph	175	meV per atom
E_form	1.00	eV per atom
uncorrected energy	-0.2595	Ry/atom
total magnetization	0.687	μB/f.u.

---

(3)
LiPmNiH6 after structural relaxation, computed with PBE.

Cell: 4.4103 4.4103 4.3278 Å, 90.00 90.00 120.00°
Space group P-6m2 (No. 187)
Inequivalent atoms, fractional coordinates:
Li (0.0000, 0.0000, 0.0000) x1
Pm (0.6667, 0.3333, 0.5000) x1
Ni (0.3333, 0.6667, 0.0000) x1
H (0.1807, 0.3613, 0.2535) x6

Summary:
V	8.10	A^3/atom
uncorrected energy	-0.2894	Ry/atom
total magnetization	0.000	μB/f.u.

---

(4)
CsLi2CdIn after structural relaxation, computed with PBE.

Cell: 5.614 5.614 5.731 Å, 90.00 90.00 90.00°
Space group P4/mmm (No. 123)
Inequivalent atoms, fractional coordinates:
Cs (0.000, 0.000, 0.000) x1
Li (0.000, 0.500, 0.500) x2
Cd (0.500, 0.500, 0.000) x1
In (0.500, 0.500, 0.500) x1

Summary:
V	36.12	A^3/atom
ΔE to the lowest computed polymorph	0	meV per atom
E_form	-0.01	eV per atom
uncorrected energy	-0.1234	Ry/atom
total magnetization	0.000	μB/f.u.

---

(5)
KSrSbTe2 after structural relaxation, computed with PBE.

Cell: 6.237 6.237 6.133 Å, 90.00 90.00 90.00°
Space group P4/mmm (No. 123)
Inequivalent atoms, fractional coordinates:
K (0.000, 0.000, 0.000) x1
Sr (0.500, 0.500, 0.500) x1
Sb (0.500, 0.500, 0.000) x1
Te (0.000, 0.500, 0.500) x2

Summary:
V	47.72	A^3/atom
ΔE to the lowest computed polymorph	0	meV per atom
uncorrected energy	-0.2099	Ry/atom
total magnetization	0.211	μB/f.u.
formation energy without anion corrections	-0.219	eV/atom

---

(6)
Sr2ZnRu after structural relaxation, computed with PBE.

Cell: 4.393 4.616 11.334 Å, 90.00 90.00 90.00°
Space group Amm2 (No. 38)
Inequivalent atoms, fractional coordinates:
Sr (0.000, 0.000, 0.000) x2
Sr (0.500, 0.000, 0.281) x2
Zn (0.000, 0.000, 0.693) x2
Ru (0.500, 0.000, 0.591) x2

Summary:
V	28.73	A^3/atom
E_form	0.06	eV per atom
uncorrected energy	-0.2515	Ry/atom
total magnetization	0.000	μB/f.u.

---

(7)
Ca6SnPb5 after structural relaxation, computed with PBE.

Cell: 10.519 15.197 5.079 Å, 90.00 118.77 90.00°
Space group C2/m (No. 12)
Inequivalent atoms, fractional coordinates:
Ca (0.244, 0.000, 0.244) x4
Ca (0.247, 0.166, 0.747) x8
Sn (0.000, 0.000, 0.500) x2
Pb (0.000, 0.168, 0.000) x4
Pb (0.000, 0.335, 0.500) x4
Pb (0.000, 0.500, 0.000) x2

Summary:
V	29.65	A^3/atom
E_form	-0.54	eV per atom
uncorrected energy	-0.2514	Ry/atom
total magnetization	0.000	μB/f.u.

---

(8)
Li2CaFe after structural relaxation, computed with PBE.

Cell: 3.602 4.925 9.203 Å, 90.00 90.00 90.00°
Space group Imm2 (No. 44)
Inequivalent atoms, fractional coordinates:
Li (0.000, 0.000, 0.000) x2
Li (0.000, 0.500, 0.256) x2
Ca (0.000, 0.500, 0.778) x2
Fe (0.000, 0.000, 0.542) x2

Summary:
V	20.41	A^3/atom
ΔE to the lowest computed polymorph	100	meV per atom
E_form	0.45	eV per atom
uncorrected energy	-0.2294	Ry/atom
total magnetization	2.368	μB/f.u.

---

(9)
Mg7Tl6 after structural relaxation, computed with PBE.

Cell: 5.9865 5.9865 32.6662 Å, 90.00 90.00 120.00°
Space group R-3m (No. 166, hexagonal axes)
Inequivalent atoms, fractional coordinates:
Mg (0.0000, 0.0000, 0.0000) x3
Mg (0.0023, 0.5012, 0.4110) x18
Tl (0.0000, 0.0000, 0.1668) x6
Tl (0.0000, 0.0000, 0.3459) x6
Tl (0.0000, 0.0000, 0.4508) x6

Summary:
V	26.00	A^3/atom
E_form	0.01	eV per atom
uncorrected energy	-0.1427	Ry/atom
total magnetization	0.000	μB/f.u.

---

(10)
PuSc6Tl5 after structural relaxation, computed with PBE.

Cell: 5.116 7.219 15.395 Å, 90.00 90.00 90.00°
Space group Immm (No. 71)
Inequivalent atoms, fractional coordinates:
Pu (0.000, 0.000, 0.000) x2
Sc (0.000, 0.240, 0.500) x4
Sc (0.000, 0.250, 0.167) x8
Tl (0.000, 0.000, 0.331) x4
Tl (0.000, 0.500, 0.000) x2
Tl (0.000, 0.500, 0.344) x4

Summary:
V	23.69	A^3/atom
E_form	-0.21	eV per atom
uncorrected energy	-0.4086	Ry/atom
total magnetization	10.106	μB/f.u.

---

(11)
Ti2Mn5AlSi2 after structural relaxation, computed with PBE.

Cell: 8.872 8.872 3.398 Å, 90.00 90.00 90.00°
Space group P4/mbm (No. 127)
Inequivalent atoms, fractional coordinates:
Ti (0.172, 0.328, 0.000) x4
Mn (0.000, 0.500, 0.500) x2
Mn (0.065, 0.794, 0.500) x8
Al (0.000, 0.000, 0.000) x2
Si (0.124, 0.624, 0.000) x4

Summary:
V	13.37	A^3/atom
uncorrected energy	-0.5842	Ry/atom
total magnetization	7.749	μB/f.u.
formation energy without anion corrections	-0.326	eV/atom

---

(12)
SrEuHgSb after structural relaxation, computed with PBE.

Cell: 7.966 7.966 7.966 Å, 90.00 90.00 90.00°
Space group F-43m (No. 216)
Inequivalent atoms, fractional coordinates:
Sr (0.000, 0.000, 0.000) x4
Eu (0.000, 0.000, 0.500) x4
Hg (0.250, 0.250, 0.250) x4
Sb (0.250, 0.250, 0.750) x4

Summary:
V	31.60	A^3/atom
uncorrected energy	-0.3565	Ry/atom
total magnetization	7.430	μB/f.u.
formation energy without anion corrections	-0.756	eV/atom

---

(13)
Ta2IrPt after structural relaxation, computed with PBE.

Cell: 2.846 4.016 5.688 Å, 90.00 90.35 90.00°
Space group P2/m (No. 10)
Inequivalent atoms, fractional coordinates:
Ta (0.001, 0.000, 0.255) x2
Ir (0.500, 0.500, 0.500) x1
Pt (0.500, 0.500, 0.000) x1

Summary:
V	16.25	A^3/atom
E_form	-0.63	eV per atom
uncorrected energy	-0.7560	Ry/atom
total magnetization	0.000	μB/f.u.

---

(14)
PrSmRuI after structural relaxation, computed with PBE.

Cell: 7.170 4.125 8.540 Å, 90.00 106.35 90.00°
Space group Cm (No. 8)
Inequivalent atoms, fractional coordinates:
Pr (0.000, 0.000, 0.000) x2
Sm (0.210, 0.000, 0.628) x2
Ru (0.104, 0.500, 0.810) x2
I (0.274, 0.500, 0.321) x2

Summary:
V	30.30	A^3/atom
uncorrected energy	-0.4175	Ry/atom
total magnetization	0.000	μB/f.u.
formation energy without anion corrections	-0.599	eV/atom

---

(15)
CaCeN after structural relaxation, computed with PBE.

Cell: 3.5625 3.5625 6.3428 Å, 90.00 90.00 120.00°
Space group P3m1 (No. 156)
Inequivalent atoms, fractional coordinates:
Ca (0.0000, 0.0000, 0.0000) x1
Ce (0.6667, 0.3333, 0.5621) x1
N (0.3333, 0.6667, 0.7570) x1

Summary:
V	23.24	A^3/atom
ΔE to the lowest computed polymorph	0	meV per atom
uncorrected energy	-0.4581	Ry/atom
total magnetization	1.344	μB/f.u.
formation energy without anion corrections	-0.813	eV/atom

---

(16)
YTm3Rh after structural relaxation, computed with PBE.

Cell: 5.334 5.334 5.334 Å, 90.00 90.00 90.00°
Space group Pm-3m (No. 221)
Inequivalent atoms, fractional coordinates:
Y (0.000, 0.000, 0.000) x1
Tm (0.000, 0.500, 0.500) x3
Rh (0.500, 0.500, 0.500) x1

Summary:
V	30.35	A^3/atom
ΔE to the lowest computed polymorph	58	meV per atom
E_form	-0.26	eV per atom
uncorrected energy	-0.4194	Ry/atom
total magnetization	0.001	μB/f.u.

---

(17)
Pm3MgGa2 after structural relaxation, computed with PBE.

Cell: 5.2667 5.2667 12.9172 Å, 90.00 90.00 120.00°
Space group P-3m1 (No. 164)
Inequivalent atoms, fractional coordinates:
Pm (0.0000, 0.0000, 0.2384) x2
Pm (0.3333, 0.6667, 0.4181) x2
Pm (0.3333, 0.6667, 0.9271) x2
Mg (0.3333, 0.6667, 0.6717) x2
Ga (0.0000, 0.0000, 0.0000) x1
Ga (0.0000, 0.0000, 0.5000) x1
Ga (0.3333, 0.6667, 0.1780) x2

Summary:
V	25.86	A^3/atom
ΔE to the lowest computed polymorph	0	meV per atom
E_form	-0.42	eV per atom
uncorrected energy	-0.2993	Ry/atom
total magnetization	0.000	μB/f.u.

---

(18)
PmGd3Ni after structural relaxation, computed with PBE.

Cell: 5.382 5.382 5.382 Å, 90.00 90.00 90.00°
Space group Pm-3m (No. 221)
Inequivalent atoms, fractional coordinates:
Pm (0.000, 0.000, 0.000) x1
Gd (0.000, 0.500, 0.500) x3
Ni (0.500, 0.500, 0.500) x1

Summary:
V	31.17	A^3/atom
E_form	-0.04	eV per atom
uncorrected energy	-0.7790	Ry/atom
total magnetization	22.888	μB/f.u.

---

(19)
RbNaMgTl2 after structural relaxation, computed with PBE.

Cell: 5.683 5.683 6.053 Å, 90.00 90.00 90.00°
Space group P4/mmm (No. 123)
Inequivalent atoms, fractional coordinates:
Rb (0.000, 0.000, 0.000) x1
Na (0.500, 0.500, 0.000) x1
Mg (0.500, 0.500, 0.500) x1
Tl (0.000, 0.500, 0.500) x2

Summary:
V	39.10	A^3/atom
E_form	0.08	eV per atom
uncorrected energy	-0.1208	Ry/atom
total magnetization	0.000	μB/f.u.

---

(20)
Zn10Cu6Rh after structural relaxation, computed with PBE.

Cell: 7.2770 7.2770 5.1132 Å, 90.00 90.00 120.00°
Space group P-31m (No. 162)
Inequivalent atoms, fractional coordinates:
Zn (0.0000, 0.2828, 0.3203) x6
Zn (0.3333, 0.6667, 0.0000) x2
Zn (0.3333, 0.6667, 0.5000) x2
Cu (0.0000, 0.3635, 0.8180) x6
Rh (0.0000, 0.0000, 0.0000) x1

Summary:
V	13.79	A^3/atom
E_form	-0.07	eV per atom
uncorrected energy	-0.1982	Ry/atom
total magnetization	0.000	μB/f.u.